[1]
Computed, not measured: an optimized crystal structure of AlPtF3 at the GGA-PBE level of DFT.

abc: 4.358 4.358 4.358
angles: 90.00 90.00 90.00
Sites, in units of the cell vectors:
Al: 0.500 0.500 0.500
Pt: 0.000 0.000 0.000
F: 0.000 0.500 0.000
F: 0.000 0.000 0.500
F: 0.500 0.000 0.000

For the formation energy from raw total energies, the calculation gives -834 meV per atom. For the size of the total moment, the calculation gives 0.0 μB/cell. The density of states at the Fermi level comes out at 1.37 states/eV/f.u. Its total energy is -19.567 eV/cell.

---

[2]
Computed, not measured: an optimized crystal structure of TbY2Al at the GGA-PBE level of DFT.

abc: 3.604 3.604 10.612
angles: 80.22 80.22 60.00
Last column: magnetic moment on the atom in μB.
Sites, in units of the cell vectors:
Tb: 0.500 0.500 0.499  0.28
Y: 0.072 0.072 0.783  0.08
Y: 0.261 0.261 0.217  0.04
Al: 0.666 0.666 0.001  0.00

For the size of the total moment, the calculation gives 0.6 μB/cell. The density of states at the Fermi level comes out at 3.94 states/eV/f.u. Its total energy is -21.638 eV/cell.

---

[3]
Computed, not measured: an optimized crystal structure of PuZrSb2 at the GGA-PBE level of DFT.

abc: 3.550 3.550 7.835
angles: 90.00 90.00 90.00
Last column: magnetic moment on the atom in μB.
Sites, in units of the cell vectors:
Sb: 0.000 0.000 0.771  -0.04
Sb: 0.000 0.000 0.229  -0.04
Zr: 0.500 0.500 0.000  0.07
Pu: 0.500 0.500 0.500  5.53

For the formation energy from raw total energies, the calculation gives -534 meV per atom. For the size of the total moment, the calculation gives 6.0 μB/cell. The density of states at the Fermi level comes out at 7.97 states/eV/f.u. Its total energy is -33.260 eV/cell.

---

[4]
Computed, not measured: an optimized crystal structure of BaNiW at the GGA-PBE level of DFT.

abc: 4.896 4.896 4.896
angles: 60.00 60.00 60.00
Last column: magnetic moment on the atom in μB.
Sites, in units of the cell vectors:
Ba: 0.750 0.750 0.750  0.14
Ni: 0.000 0.000 0.000  0.37
W: 0.500 0.500 0.500  2.55

For the size of the total moment, the calculation gives 3.8 μB/cell. The density of states at the Fermi level comes out at 4.71 states/eV/f.u. Its total energy is -13.347 eV/cell.

---

[5]
Computed, not measured: an optimized crystal structure of Hf3MgTe at the GGA-PBE level of DFT.

abc: 5.231 5.231 5.231
angles: 90.00 90.00 90.00
Sites, in units of the cell vectors:
Mg: 0.500 0.500 0.500
Te: 0.000 0.000 0.000
Hf: 0.000 0.500 0.000
Hf: 0.000 0.000 0.500
Hf: 0.500 0.000 0.000

For the formation energy from raw total energies, the calculation gives 789 meV per atom. For the size of the total moment, the calculation gives 0.0 μB/cell. The density of states at the Fermi level comes out at 3.71 states/eV/f.u. Its total energy is -30.653 eV/cell.

---

[6]
Computed, not measured: an optimized crystal structure of TaTc2Ru at the GGA-PBE level of DFT.

abc: 4.814 4.814 4.814
angles: 131.52 131.52 70.98
Sites, in units of the cell vectors:
Ru: 0.500 0.500 0.000
Ta: 0.750 0.250 0.500
Tc: 0.000 0.000 0.000
Tc: 0.250 0.750 0.500

For the size of the total moment, the calculation gives 0.0 μB/cell. The density of states at the Fermi level comes out at 5.62 states/eV/f.u. Its total energy is -41.937 eV/cell.

---

[7]
Computed, not measured: an optimized crystal structure of NaBeSb at the GGA-PBE level of DFT.

abc: 4.036 7.432 10.219
angles: 90.00 90.00 90.00
Sites, in units of the cell vectors:
Sb: 0.750 0.787 0.396
Sb: 0.750 0.713 0.896
Sb: 0.250 0.287 0.104
Sb: 0.250 0.213 0.604
Na: 0.750 0.357 0.353
Na: 0.750 0.143 0.853
Na: 0.250 0.857 0.147
Na: 0.250 0.643 0.647
Be: 0.750 0.453 0.043
Be: 0.750 0.047 0.543
Be: 0.250 0.547 0.957
Be: 0.250 0.953 0.457

For the formation energy from raw total energies, the calculation gives -125 meV per atom. For the size of the total moment, the calculation gives 0.0 μB/cell. The density of states at the Fermi level comes out at 0.04 states/eV/f.u. Its total energy is -38.172 eV/cell.

---

[8]
Computed, not measured: an optimized crystal structure of LaScCo2 at the GGA-PBE level of DFT.

abc: 5.602 5.602 5.602
angles: 44.97 44.97 44.97
Last column: magnetic moment on the atom in μB.
Sites, in units of the cell vectors:
Co: 0.045 0.045 0.045  0.09
Co: 0.455 0.455 0.455  0.09
La: 0.250 0.250 0.250  -0.02
Sc: 0.750 0.750 0.750  -0.03

For the size of the total moment, the calculation gives 0.1 μB/cell. The density of states at the Fermi level comes out at 4.36 states/eV/f.u. Its total energy is -25.522 eV/cell.